The following is a GGA+U calculation of a geometry-optimized Fe2CuMoF structure, from Alexandria via LeMat-Bulk.

Lattice parameters (Å, degrees): 4.698 4.953 4.698 90.00 90.00 90.00
Each line ends with the local moment (μB).
Positions (direct):
Fe 0.500 0.000 0.000  3.57
Mo 0.000 0.500 0.000  3.59
F 0.500 0.500 0.500  0.05
Fe 0.000 0.000 0.500  3.67
Cu 0.000 0.000 0.000  0.15

Calculated values
Energy in eV/atom: -3.97
Magnetization in μB per atom: 2.31
Calculated volume in Å³ per cell: 109.3